(1)
Density functional theory data (PBE-GGA) for MgMn2W after structural relaxation.

The structure in POSCAR format:
```
MgMn2W
1.0
2.665 0.000 0.000
0.000 4.206 0.000
0.000 0.000 5.314
Mg Mn W
1 2 1
direct
0.000 0.000 0.000 Mg
0.000 0.000 0.495 Mn
0.500 0.500 0.234 Mn
0.500 0.500 0.699 W
```

The value obtained for the raw total energy is -7.792 eV/atom. Its crystal system is orthorhombic. For the calculated formation energy, the calculation gives 0.43 eV/atom.


(2)
Density functional theory data (PBE-GGA) for MgMnW2 after structural relaxation.

The structure in POSCAR format:
```
MgMnW2
1.0
2.689 0.000 0.000
0.000 4.432 0.000
-0.788 0.000 5.225
Mg Mn W
1 1 2
direct
0.000 0.000 0.000 Mg
0.786 0.500 0.249 Mn
0.311 0.500 0.737 W
0.528 0.000 0.493 W
```

The value obtained for the raw total energy is -8.821 eV/atom. Its crystal system is monoclinic. For the calculated formation energy, the calculation gives 0.35 eV/atom.